# 1
{"formula": "MgZr4Te", "functional": "PBE", "state": "optimized geometry", "lattice_angstrom": [[0.0000, 4.1631, 4.1631], [4.1631, 0.0000, 4.1631], [4.1631, 4.1631, 0.0000]], "species": ["Zr", "Zr", "Zr", "Zr", "Mg", "Te"], "frac_coords": [[0.3772, 0.3772, 0.3772], [0.8685, 0.3772, 0.3772], [0.3772, 0.3772, 0.8685], [0.3772, 0.8685, 0.3772], [0.7500, 0.7500, 0.7500], [0.0000, 0.0000, 0.0000]], "e_tot_ev_per_cell": -37.629, "total_magnetization_mub_per_atom": 0.000, "vol_a3_per_atom": 24.1, "formation_energy_uncorrected_mev_per_atom": 217}

***

# 2
{"formula": "CaDy3Os", "functional": "PBE", "state": "optimized geometry", "lattice_angstrom": [[5.4653, 0.0000, 0.0000], [0.0000, 5.4653, 0.0000], [0.0000, 0.0000, 5.4653]], "species": ["Os", "Ca", "Dy", "Dy", "Dy"], "frac_coords": [[0.0000, 0.0000, 0.0000], [0.5000, 0.5000, 0.5000], [0.0000, 0.0000, 0.5000], [0.5000, 0.0000, 0.0000], [0.0000, 0.5000, 0.0000]], "e_tot_ev_per_cell": -27.440, "e_form_ev_per_atom": -0.080, "total_magnetization_mub_per_atom": 0.000, "vol_a3_per_atom": 32.6}

***

# 3
{"formula": "LiDy3Er2Te6", "functional": "PBE", "state": "optimized geometry", "lattice_angstrom": [[4.3207, 0.0000, 0.0000], [0.0000, 8.6454, 0.2987], [-2.1603, -2.5027, 9.0951]], "species": ["Te", "Te", "Te", "Te", "Te", "Te", "Dy", "Dy", "Dy", "Li", "Er", "Er"], "frac_coords": [[0.3380, 0.9178, 0.6759], [0.6620, 0.0822, 0.3241], [0.0010, 0.2409, 0.0020], [0.3340, 0.4184, 0.6680], [0.9990, 0.7591, 0.9980], [0.6660, 0.5816, 0.3320], [0.5000, 0.5000, 0.0000], [0.8318, 0.1701, 0.6636], [0.1682, 0.8299, 0.3364], [0.5000, 0.0000, 0.0000], [0.1686, 0.3384, 0.3372], [0.8314, 0.6616, 0.6628]], "e_tot_ev_per_cell": -59.081, "total_magnetization_mub_per_atom": 0.000, "vol_a3_per_atom": 28.6, "formation_energy_uncorrected_mev_per_atom": -1282}

***

# 4
{"formula": "Ac2Tb5Er12", "functional": "PBE", "state": "optimized geometry", "lattice_angstrom": [[9.3935, 0.2971, -0.2558], [4.5799, 8.2068, -0.2558], [-1.5089, -0.9183, 8.4970]], "species": ["Tb", "Tb", "Tb", "Tb", "Tb", "Ac", "Ac", "Er", "Er", "Er", "Er", "Er", "Er", "Er", "Er", "Er", "Er", "Er", "Er"], "frac_coords": [[0.7828, 0.7828, 0.4861], [0.2172, 0.2172, 0.5139], [0.0000, 0.0000, 0.5000], [0.6413, 0.6413, 0.1431], [0.3587, 0.3587, 0.8569], [0.8036, 0.1964, 0.0000], [0.1964, 0.8036, 0.0000], [0.4148, 0.7891, 0.4514], [0.0559, 0.4276, 0.1862], [0.5724, 0.9441, 0.8138], [0.7891, 0.4148, 0.4514], [0.2109, 0.5852, 0.5486], [0.5852, 0.2109, 0.5486], [0.5671, 0.5671, 0.7706], [0.4329, 0.4329, 0.2294], [0.4276, 0.0559, 0.1862], [0.8518, 0.8518, 0.1701], [0.9441, 0.5724, 0.8138], [0.1482, 0.1482, 0.8299]], "e_tot_ev_per_cell": -82.167, "e_form_ev_per_atom": 0.208, "total_magnetization_mub_per_atom": 0.000, "vol_a3_per_atom": 33.6}

***

# 5
{"formula": "Be2CrFe3", "functional": "PBE", "state": "optimized geometry", "lattice_angstrom": [[2.6905, 0.0000, 0.0000], [0.0000, 2.6905, 0.0000], [0.0000, 0.0000, 8.0481]], "species": ["Fe", "Fe", "Fe", "Cr", "Be", "Be"], "frac_coords": [[0.0000, 0.0000, 0.3216], [0.0000, 0.0000, 0.6784], [0.0000, 0.0000, 0.0000], [0.5000, 0.5000, 0.5000], [0.5000, 0.5000, 0.8320], [0.5000, 0.5000, 0.1680]], "e_tot_ev_per_cell": -42.988, "e_form_ev_per_atom": -0.087, "total_magnetization_mub_per_atom": 0.399, "vol_a3_per_atom": 9.7}

***

# 6
{"formula": "AcNd4Dy4", "functional": "PBE", "state": "optimized geometry", "lattice_angstrom": [[8.5207, -4.4260, 1.1855], [-5.1858, 9.6633, 0.0523], [1.7116, 0.1865, 10.8227]], "species": ["Dy", "Dy", "Dy", "Dy", "Dy", "Dy", "Dy", "Dy", "Nd", "Nd", "Nd", "Nd", "Nd", "Nd", "Nd", "Nd", "Ac", "Ac"], "frac_coords": [[0.3017, 0.2159, 0.5280], [0.8621, 0.4412, 0.3085], [0.4707, 0.8872, 0.3636], [0.6983, 0.7841, 0.4720], [0.5843, 0.3281, 0.9130], [0.4157, 0.6719, 0.0870], [0.1379, 0.5588, 0.6915], [0.5293, 0.1128, 0.6364], [0.7479, 0.0025, 0.7478], [0.0794, 0.3348, 0.4192], [0.8042, 0.2238, 0.0300], [0.0212, 0.1090, 0.1428], [0.1958, 0.7762, 0.9700], [0.9788, 0.8910, 0.8572], [0.9206, 0.6652, 0.5808], [0.2521, 0.9975, 0.2522], [0.6356, 0.5519, 0.1968], [0.3644, 0.4481, 0.8032]], "e_tot_ev_per_cell": -82.629, "e_form_ev_per_atom": 0.030, "total_magnetization_mub_per_atom": 0.000, "vol_a3_per_atom": 34.5}

***

# 7
{"formula": "Ac6Ge3Ir", "functional": "PBE", "state": "optimized geometry", "lattice_angstrom": [[-4.3329, -4.5479, 6.7144], [-2.5405, -5.2212, -7.1292], [8.4764, -3.3324, 1.2596]], "species": ["Ac", "Ac", "Ac", "Ac", "Ac", "Ac", "Ac", "Ac", "Ac", "Ac", "Ac", "Ac", "Ge", "Ge", "Ge", "Ge", "Ge", "Ge", "Ir", "Ir"], "frac_coords": [[0.3153, 0.9524, 0.0714], [0.5741, 0.8097, 0.4408], [0.5592, 0.4259, 0.1903], [0.9286, 0.6847, 0.0476], [0.0476, 0.9286, 0.6847], [0.4259, 0.1903, 0.5592], [0.1903, 0.5592, 0.4259], [0.6847, 0.0476, 0.9286], [0.9524, 0.0714, 0.3153], [0.8097, 0.4408, 0.5741], [0.0714, 0.3153, 0.9524], [0.4408, 0.5741, 0.8097], [0.2900, 0.6180, 0.1178], [0.8822, 0.7100, 0.3820], [0.1178, 0.2900, 0.6180], [0.6180, 0.1178, 0.2900], [0.7100, 0.3820, 0.8822], [0.3820, 0.8822, 0.7100], [0.5000, 0.5000, 0.5000], [0.0000, 0.0000, 0.0000]], "e_tot_ev_per_cell": -105.035, "e_form_ev_per_atom": -0.515, "total_magnetization_mub_per_atom": 0.000, "vol_a3_per_atom": 37.3}

***

# 8
{"formula": "Ba2HfHgBi", "functional": "PBE", "state": "optimized geometry", "lattice_angstrom": [[-5.9546, 0.4707, 2.0635], [-0.5333, -5.3504, -0.3183], [2.0220, -0.5562, 5.9615]], "species": ["Hf", "Ba", "Ba", "Bi", "Hg"], "frac_coords": [[0.0000, 0.0000, 0.0000], [0.0000, 0.0000, 0.5000], [0.5000, 0.0000, 0.0000], [0.5000, 0.5000, 0.5000], [0.0000, 0.5000, 0.0000]], "e_tot_ev_per_cell": -15.586, "e_form_ev_per_atom": 0.479, "total_magnetization_mub_per_atom": 0.278, "vol_a3_per_atom": 43.0}

***

# 9
{"formula": "Tb8Y4Th", "functional": "PBE", "state": "optimized geometry", "lattice_angstrom": [[7.5853, -1.1518, 1.3295], [0.9091, 7.6182, 1.3295], [-1.5131, -1.1518, 7.5508]], "species": ["Tb", "Tb", "Tb", "Tb", "Tb", "Tb", "Tb", "Tb", "Y", "Y", "Y", "Y", "Th"], "frac_coords": [[0.7588, 0.7588, 0.7588], [0.2409, 0.2409, 0.7580], [0.2409, 0.7580, 0.2409], [0.2412, 0.2412, 0.2412], [0.7591, 0.7591, 0.2420], [0.7580, 0.2409, 0.2409], [0.2420, 0.7591, 0.7591], [0.7591, 0.2420, 0.7591], [0.5000, 0.0000, 0.5000], [0.0000, 0.5000, 0.5000], [0.0000, 0.0000, 0.0000], [0.5000, 0.5000, 0.0000], [0.5000, 0.5000, 0.5000]], "e_tot_ev_per_cell": -63.457, "e_form_ev_per_atom": 0.528, "total_magnetization_mub_per_atom": 0.061, "vol_a3_per_atom": 36.3}

***

# 10
{"formula": "UNbAs2", "functional": "PBE", "state": "optimized geometry", "lattice_angstrom": [[3.9927, 0.0780, 0.0000], [-0.0778, 3.9927, 0.0000], [-1.9575, -2.0354, 10.1542]], "species": ["As", "As", "As", "As", "Nb", "Nb", "U", "U"], "frac_coords": [[0.4999, 0.9999, 0.0000], [0.6578, 0.6578, 0.3157], [0.3421, 0.3421, 0.6843], [0.9999, 0.4999, 0.0000], [0.7500, 0.2500, 0.5000], [0.2500, 0.7500, 0.5000], [0.8943, 0.8943, 0.7887], [0.1056, 0.1056, 0.2113]], "e_tot_ev_per_cell": -66.021, "e_form_ev_per_atom": -0.588, "total_magnetization_mub_per_atom": 0.626, "vol_a3_per_atom": 20.2, "e_above_lowest_polymorph_kj_per_mol_fu": 6}

***

# 11
{"formula": "LiEr2Ga2Pd5", "functional": "PBE", "state": "optimized geometry", "lattice_angstrom": [[3.7256, 0.0000, 0.0000], [0.0000, 9.7628, 0.0000], [0.0000, 0.0000, 9.7628]], "species": ["Li", "Li", "Ga", "Ga", "Ga", "Ga", "Pd", "Pd", "Pd", "Pd", "Pd", "Pd", "Pd", "Pd", "Pd", "Pd", "Er", "Er", "Er", "Er"], "frac_coords": [[0.0000, 0.5000, 0.5000], [0.0000, 0.0000, 0.0000], [0.0000, 0.6238, 0.8762], [0.0000, 0.1238, 0.6238], [0.0000, 0.3762, 0.1238], [0.0000, 0.8762, 0.3762], [0.5000, 0.2048, 0.0657], [0.5000, 0.2952, 0.5657], [0.5000, 0.9343, 0.2048], [0.5000, 0.5000, 0.0000], [0.5000, 0.0657, 0.7952], [0.5000, 0.7952, 0.9343], [0.5000, 0.0000, 0.5000], [0.5000, 0.5657, 0.7048], [0.5000, 0.4343, 0.2952], [0.5000, 0.7048, 0.4343], [0.0000, 0.6752, 0.1752], [0.0000, 0.3248, 0.8248], [0.0000, 0.1752, 0.3248], [0.0000, 0.8248, 0.6752]], "e_tot_ev_per_cell": -100.092, "e_form_ev_per_atom": -0.699, "total_magnetization_mub_per_atom": 0.000, "vol_a3_per_atom": 17.8}

***

# 12
{"formula": "RbPNO2", "functional": "PBE", "state": "optimized geometry", "lattice_angstrom": [[5.1457, 0.0000, 0.0000], [0.0000, 5.1457, 0.0000], [0.0000, 0.0000, 7.3528]], "species": ["O", "O", "Rb", "N", "P"], "frac_coords": [[0.5000, 0.0000, 0.0000], [0.0000, 0.5000, 0.0000], [0.0000, 0.0000, 0.0000], [0.5000, 0.5000, 0.5000], [0.0000, 0.0000, 0.5000]], "e_tot_ev_per_cell": -13.715, "total_magnetization_mub_per_atom": 1.004, "vol_a3_per_atom": 38.9, "formation_energy_uncorrected_mev_per_atom": 2181}